Entry from the Alexandria database: crystalline PmNdWO6 at its relaxed geometry (GGA+U).

Summary:
Energy = -143.56 eV for the cell shown

```
PmNdWO6
1.0
5.723 0.000 0.000
-2.862 4.957 0.000
0.000 0.000 9.566
Pm Nd W O
2 2 2 12
Cartesian
0.000 0.000 0.000
0.000 0.000 4.783
0.000 3.304 2.392
2.862 1.652 7.175
2.862 1.652 2.392
0.000 3.304 7.175
2.089 3.088 1.298
4.491 1.603 1.298
-0.857 4.691 6.081
-1.630 3.354 8.268
1.232 1.603 3.485
3.634 3.088 3.485
0.857 4.691 8.268
3.719 0.265 3.485
-0.772 1.868 6.081
2.004 0.265 1.298
1.630 3.354 6.081
0.772 1.868 8.268
```